# 1
SrLiMg2 | Alexandria via LeMat-Bulk | PBE | optimized geometry; density of states at the Fermi level = 2.4 states/eV per cell; relative energy among the computed polymorphs = 49.6 meV per atom; energy = -1.69 eV/atom
1.0
-0.4982 -1.0616 -3.4569
0.2806 -3.8676 1.1473
-7.7533 -0.2118 1.1825
Sr Mg Li
1 2 1
direct
0.0000 0.0000 0.5024
0.0000 0.0000 0.9893
0.5000 0.5000 0.2016
0.5000 0.5000 0.8067

# 2
Ba2FePb | Alexandria via LeMat-Bulk | PBE | optimized geometry; density of states at the Fermi level = 6.5 states/eV per cell; relative energy among the computed polymorphs = 0.0 meV per atom; energy = -3.91 eV/atom
1.0
-0.1227 3.2175 3.6534
3.6058 -2.7613 2.5529
6.2108 1.8648 -1.4337
Ba Fe Pb
2 1 1
direct
0.0000 0.9842 0.9062
0.5000 0.2703 0.3344
0.0000 0.6716 0.5327
0.5000 0.5739 0.7267

# 3
KRuF2 | Alexandria via LeMat-Bulk | PBE | optimized geometry; density of states at the Fermi level = 3.2 states/eV per cell; ΔE_f (raw) = -992 meV/atom; relative energy among the computed polymorphs = 348.9 meV per atom; energy = -4.52 eV/atom
1.0
6.4889 0.0000 0.0000
0.0000 6.4889 0.0000
3.2444 3.2444 3.5758
Ru K F
2 2 4
direct
0.0000 0.0000 0.0000
0.7500 0.2500 0.5000
0.5000 0.5000 0.0000
0.2500 0.7500 0.5000
0.6653 0.1250 0.2500
0.0847 0.6250 0.2500
0.3750 0.3347 0.7500
0.8750 0.9153 0.7500

# 4
CoHRuRh2 | Alexandria via LeMat-Bulk | PBE | optimized geometry; density of states at the Fermi level = 5.7 states/eV per cell; energy = -6.75 eV/atom
1.0
-1.9791 3.2786 0.1377
-3.1318 -1.9352 1.0637
0.9898 0.4413 3.7173
Ru Rh H Co
1 2 1 1
direct
0.0000 0.0000 0.5000
0.0000 0.5000 0.0000
0.5000 0.0000 0.0000
0.0000 0.0000 0.0000
0.5000 0.5000 0.5000

# 5
Ba2LiTl6Rh | Alexandria via LeMat-Bulk | PBE | optimized geometry; density of states at the Fermi level = 9.1 states/eV per cell; energy = -2.92 eV/atom
1.0
7.5423 0.0033 -0.0227
0.0041 7.5417 -0.0228
3.7571 3.7563 5.3206
Ba Li Tl Rh
2 1 6 1
direct
0.2500 0.7500 0.5000
0.7500 0.2500 0.5000
0.0000 0.0000 0.0000
0.2452 0.7549 0.9999
0.7544 0.7544 0.0007
0.2449 0.2450 0.5090
0.7548 0.2451 0.0001
0.2456 0.2456 0.9993
0.7551 0.7550 0.4910
0.5000 0.5000 0.0000

# 6
CrRhN3 | Alexandria via LeMat-Bulk | PBE | optimized geometry; density of states at the Fermi level = 4.0 states/eV per cell; ΔE_f (raw) = 1843 meV/atom; energy = -6.55 eV/atom
1.0
3.7966 0.0000 0.0000
0.0000 3.7966 0.0000
0.0000 0.0000 3.7966
Cr Rh N
1 1 3
direct
0.5000 0.5000 0.5000
0.0000 0.0000 0.0000
0.0000 0.5000 0.0000
0.0000 0.0000 0.5000
0.5000 0.0000 0.0000